A relaxed structure of SrLi9Hg2, computed with PBE-GGA.

```
data_SrLi9Hg2
_chemical_formula_sum 'Sr2 Li18 Hg4'
_space_group_name_H-M_alt 'P 1'
_space_group_IT_number 1
_cell_length_a 7.567
_cell_length_b 9.114
_cell_length_c 9.114
_cell_angle_alpha 80.08
_cell_angle_beta 65.47
_cell_angle_gamma 65.47
loop_
_space_group_symop_operation_xyz
'x,y,z'
loop_
_atom_site_label
_atom_site_type_symbol
_atom_site_fract_x
_atom_site_fract_y
_atom_site_fract_z
Sr1 Sr 0.500 0.000 0.000
Sr2 Sr 0.250 0.500 0.500
Li1 Li 0.750 0.500 0.500
Li2 Li 0.000 0.000 0.000
Li3 Li 0.018 0.921 0.674
Li4 Li 0.614 0.079 0.326
Li5 Li 0.690 0.174 0.579
Li6 Li 0.442 0.826 0.421
Li7 Li 0.732 0.826 0.579
Li8 Li 0.136 0.174 0.421
Li9 Li 0.060 0.921 0.326
Li10 Li 0.308 0.079 0.674
Li11 Li 0.732 0.579 0.826
Li12 Li 0.136 0.421 0.174
Li13 Li 0.060 0.326 0.921
Li14 Li 0.308 0.674 0.079
Li15 Li 0.018 0.674 0.921
Li16 Li 0.614 0.326 0.079
Li17 Li 0.690 0.579 0.174
Li18 Li 0.442 0.421 0.826
Hg1 Hg 0.875 0.250 0.750
Hg2 Hg 0.875 0.750 0.250
Hg3 Hg 0.875 0.250 0.250
Hg4 Hg 0.375 0.750 0.750
```

Computed properties:
DOS at the Fermi energy in states/eV per atom: 0.466
Space-group type: I4_1/amd, No. 141
Calculated total energy in eV per atom: -1.806
DFT formation energy in eV per atom: -0.180
Crystal system: tetragonal

A relaxed structure of Sr2Li2Hg, computed with PBE-GGA.

```
data_Sr2Li2Hg
_chemical_formula_sum 'Sr4 Li4 Hg2'
_space_group_name_H-M_alt 'P 1'
_space_group_IT_number 1
_cell_length_a 4.928
_cell_length_b 6.557
_cell_length_c 11.062
_cell_angle_alpha 87.22
_cell_angle_beta 77.13
_cell_angle_gamma 67.93
loop_
_space_group_symop_operation_xyz
'x,y,z'
loop_
_atom_site_label
_atom_site_type_symbol
_atom_site_fract_x
_atom_site_fract_y
_atom_site_fract_z
Sr1 Sr 0.674 0.316 0.336
Sr2 Sr 0.919 0.281 0.880
Sr3 Sr 0.326 0.684 0.664
Sr4 Sr 0.081 0.719 0.120
Li1 Li 0.115 0.220 0.549
Li2 Li 0.622 0.876 0.880
Li3 Li 0.885 0.780 0.451
Li4 Li 0.378 0.124 0.120
Hg1 Hg 0.616 0.110 0.658
Hg2 Hg 0.384 0.890 0.342
```

Computed properties:
DOS at the Fermi energy in states/eV per atom: 0.753
Space-group type: C2/m, No. 12
Calculated total energy in eV per atom: -1.717
ΔE to the lowest computed polymorph in kJ per mole of atoms: 0.0
DFT formation energy in eV per atom: -0.219
Crystal system: monoclinic

A relaxed structure of Sr2Li2Hg, computed with PBE-GGA.

```
data_Sr2Li2Hg
_chemical_formula_sum 'Sr2 Li2 Hg1'
_space_group_name_H-M_alt 'P 1'
_space_group_IT_number 1
_cell_length_a 4.020
_cell_length_b 4.020
_cell_length_c 10.412
_cell_angle_alpha 78.87
_cell_angle_beta 78.87
_cell_angle_gamma 90.00
loop_
_space_group_symop_operation_xyz
'x,y,z'
loop_
_atom_site_label
_atom_site_type_symbol
_atom_site_fract_x
_atom_site_fract_y
_atom_site_fract_z
Sr1 Sr 0.402 0.402 0.195
Sr2 Sr 0.598 0.598 0.805
Hg1 Hg 0.000 0.000 0.000
Li1 Li 0.750 0.250 0.500
Li2 Li 0.250 0.750 0.500
```

Computed properties:
DOS at the Fermi energy in states/eV per atom: 0.619
Space-group type: I4/mmm, No. 139
Calculated total energy in eV per atom: -1.658
ΔE to the lowest computed polymorph in kJ per mole of atoms: 5.7
DFT formation energy in eV per atom: -0.160
Crystal system: tetragonal